(1)
LaAs3Ir: single point on PBEsol structure, SCAN.

Computed properties:
density of states at the Fermi level: 1.295 states/eV per atom
energy of formation: -0.23 eV/atom
uncorrected energy: -35.187 eV/atom

Lattice parameters (Å, degrees): 4.8486 4.8486 4.8486 90.00 90.00 90.00
With the nearest neighbours (Å) after each atom.
Fractional positions:
1 As 0.0000 0.5000 0.0000  2 Ir 2.42
2 As 0.0000 0.0000 0.5000  2 Ir 2.42
3 As 0.5000 0.0000 0.0000  2 Ir 2.42
4 Ir 0.0000 0.0000 0.0000  6 As 2.42
5 La 0.5000 0.5000 0.5000  12 As 3.43



(2)
CaSiHg2Pd: single point on PBEsol structure, SCAN.

Computed properties:
formation energy from raw total energies: 0.26 eV per atom
density of states at the Fermi level: 0.592 states/eV per atom
uncorrected energy: -37.500 eV/atom

Lattice parameters (Å, degrees): 5.0804 5.0804 5.1141 90.00 90.00 90.00
With the nearest neighbours (Å) after each atom.
Fractional positions:
1 Ca 0.0000 0.0000 0.5000  2 Pd 2.56
2 Si 0.5000 0.5000 0.5000  4 Ca 3.59, 8 Hg 3.60
3 Hg 0.0000 0.5000 0.0000  2 Pd 2.54
4 Hg 0.5000 0.0000 0.0000  2 Pd 2.54
5 Pd 0.0000 0.0000 0.0000  4 Hg 2.54, 2 Ca 2.56



(3)
LiCuNi: single point on PBEsol structure, SCAN.

Computed properties:
density of states at the Fermi level: 0.549 states/eV per atom
energy of formation: 0.00 eV/atom
uncorrected energy: -11.258 eV/atom

Lattice parameters (Å, degrees): 4.2897 4.2897 4.3787 100.16 100.16 119.70
With the nearest neighbours (Å) after each atom.
Fractional positions:
1 Ni 0.6657 0.3343 0.5000  5 Cu 2.43-2.51, 3 Ni 2.47-2.50, 4 Li 2.47-2.55
2 Ni 0.0030 0.9970 0.5000  3 Ni 2.47-2.50, 5 Cu 2.47-2.49, 4 Li 2.50-2.53
3 Cu 0.3383 0.6617 0.5000  6 Ni 2.43-2.51, 4 Li 2.47-2.51, 2 Cu 2.53
4 Cu 0.5095 0.4905 0.0000  6 Li 2.46-2.49, 4 Ni 2.47-2.48, 2 Cu 2.53
5 Li 0.1734 0.8266 0.0000  3 Li 2.47-2.49, 5 Cu 2.47-2.51, 4 Ni 2.47-2.53
6 Li 0.8408 0.1592 0.0000  5 Cu 2.46-2.49, 3 Li 2.47-2.49, 4 Ni 2.50-2.55



(4)
AlTeI3: single point on PBEsol structure, SCAN.

Computed properties:
formation energy from raw total energies: 0.09 eV per atom
density of states at the Fermi level: 0.282 states/eV per atom
uncorrected energy: -30.958 eV/atom

Lattice parameters (Å, degrees): 5.5046 5.5046 5.5046 90.00 90.00 90.00
With the nearest neighbours (Å) after each atom.
Fractional positions:
1 I 0.0000 0.5000 0.0000  2 Al 2.75
2 I 0.0000 0.0000 0.5000  2 Al 2.75
3 I 0.5000 0.0000 0.0000  2 Al 2.75
4 Te 0.5000 0.5000 0.5000  12 I 3.89
5 Al 0.0000 0.0000 0.0000  6 I 2.75